# MgAs2SeCl PBE optimized geometry
# energy: -2.5287 eV/atom
# offset from the most stable computed form: 0.1987 eV/atom
# calculated volume: 123 Å³/cell
# ρ: 3.886 g/cm³
# ΔE_f (raw): 0.716 eV per atom
data_MgAs2SeCl
_chemical_formula_sum 'Mg1 As2 Se1 Cl1'
_cell_length_a 4.852
_cell_length_b 4.852
_cell_length_c 5.237
_cell_angle_alpha 90.00
_cell_angle_beta 90.00
_cell_angle_gamma 90.00
_symmetry_space_group_name_H-M 'P 4/m m m'
_symmetry_Int_Tables_number 123
_symmetry_space_group_name_Hall '-P 4 2'
loop_
_atom_site_label
_atom_site_fract_x
_atom_site_fract_y
_atom_site_fract_z
Mg1 0.000 0.000 0.000
As1 0.000 0.500 0.500
Se1 0.500 0.500 0.000
Cl1 0.500 0.500 0.500

---

# MgAsSe2Cl PBE optimized geometry
# energy: -2.3665 eV/atom
# offset from the most stable computed form: 0.2669 eV/atom
# calculated volume: 128 Å³/cell
# ρ: 3.810 g/cm³
# ΔE_f (raw): 0.645 eV per atom
data_MgAsSe2Cl
_chemical_formula_sum 'Mg1 As1 Se2 Cl1'
_cell_length_a 5.237
_cell_length_b 5.237
_cell_length_c 4.651
_cell_angle_alpha 90.00
_cell_angle_beta 90.00
_cell_angle_gamma 90.00
_symmetry_space_group_name_H-M 'P 4/m m m'
_symmetry_Int_Tables_number 123
_symmetry_space_group_name_Hall '-P 4 2'
loop_
_atom_site_label
_atom_site_fract_x
_atom_site_fract_y
_atom_site_fract_z
Mg1 0.000 0.000 0.000
As1 0.500 0.500 0.000
Se1 0.000 0.500 0.500
Cl1 0.500 0.500 0.500